Computed, not measured: RuRhI2N after structural relaxation at the PBE level of DFT.

abc: 5.4636 5.4636 3.6612
angles: 90.00 90.00 90.00
With the nearest neighbours (Å) after each atom.
Space group P4/mmm (No. 123)
Asymmetric unit:
Ru (0.0000, 0.0000, 0.0000)  2 N 1.83
Rh (0.5000, 0.5000, 0.5000)  8 I 3.29, 2 Rh 3.66
I (0.0000, 0.5000, 0.0000)  2 Ru 2.73
N (0.0000, 0.0000, 0.5000)  2 Ru 1.83

Values from the calculation:
Offset from the most stable computed form ... 0.00 eV/f.u.
D(E_F) ... 4.50 states/eV/cell
Uncorrected energy ... -4.833 eV/atom